Entry 1:
Material: Pm2ThRu2
Method: DFT, GGA-PBE
State: optimized geometry

Properties
Formation energy in eV per atom: -0.305
Total energy in eV/atom: -7.40
Energy above the most stable polymorph in this dataset in meV/atom: 32

a b c (Å): 10.3510 6.8312 7.2518
angles (deg): 90.00 94.76 90.00
Space group P2_1/c (No. 14)
Inequivalent atoms, fractional coordinates:
1 Pm 0.0202 0.2432 0.4327 [4 per cell]
2 Pm 0.2899 0.6748 0.8834 [4 per cell]
3 Th 0.3658 0.1854 0.0008 [4 per cell]
4 Ru 0.1857 0.0359 0.7092 [4 per cell]
5 Ru 0.4839 0.5467 0.2135 [4 per cell]

---

Entry 2:
Material: PmThTlRu
Method: DFT, GGA-PBE
State: optimized geometry

Properties
Formation energy in eV per atom: -0.095
Total energy in eV/atom: -6.05
Energy above the most stable polymorph in this dataset in meV/atom: 190

a b c (Å): 7.4212 7.4212 7.4212
angles (deg): 90.00 90.00 90.00
Space group F-43m (No. 216)
Inequivalent atoms, fractional coordinates:
1 Pm 0.0000 0.0000 0.0000 [4 per cell]
2 Th 0.0000 0.0000 0.5000 [4 per cell]
3 Tl 0.2500 0.2500 0.7500 [4 per cell]
4 Ru 0.2500 0.2500 0.2500 [4 per cell]

---

Entry 3:
Material: PmThTlRu
Method: DFT, GGA-PBE
State: optimized geometry

Properties
Formation energy in eV per atom: -0.286
Total energy in eV/atom: -6.24
Energy above the most stable polymorph in this dataset in meV/atom: 0

a b c (Å): 7.0215 4.0556 8.5452
angles (deg): 90.00 106.01 90.00
Space group Cm (No. 8)
Inequivalent atoms, fractional coordinates:
1 Pm 0.0000 0.0000 0.0000 [2 per cell]
2 Th 0.2937 0.5000 0.3816 [2 per cell]
3 Tl 0.2326 0.0000 0.6938 [2 per cell]
4 Ru 0.4041 0.0000 0.2113 [2 per cell]

---

Entry 4:
Material: PmTiRu
Method: DFT, GGA-PBE
State: optimized geometry

Properties
Formation energy in eV per atom: -0.088
Total energy in eV/atom: -7.40

a b c (Å): 4.6486 4.6567 11.3593
angles (deg): 90.00 90.00 90.00
Space group Cmmm (No. 65)
Inequivalent atoms, fractional coordinates:
1 Pm 0.0000 0.0000 0.1593 [4 per cell]
2 Ti 0.0000 0.5000 0.3795 [4 per cell]
3 Ru 0.0000 0.0000 0.5000 [2 per cell]
4 Ru 0.0000 0.5000 0.0000 [2 per cell]

---

Entry 5:
Material: PmTiRu4
Method: DFT, GGA-PBE
State: optimized geometry

Properties
Formation energy in eV per atom: -0.089
Total energy in eV/atom: -8.38

a b c (Å): 7.4298 7.4298 7.4298
angles (deg): 90.00 90.00 90.00
Space group F-43m (No. 216)
Inequivalent atoms, fractional coordinates:
1 Pm 0.0000 0.0000 0.0000 [4 per cell]
2 Ti 0.2500 0.2500 0.7500 [4 per cell]
3 Ru 0.1243 0.1243 0.3757 [16 per cell]

---

Entry 6:
Material: Pm3TlRu
Method: DFT, GGA-PBE
State: optimized geometry

Properties
Formation energy in eV per atom: -0.254
Total energy in eV/atom: -5.43
Energy above the most stable polymorph in this dataset in meV/atom: 36

a b c (Å): 11.8786 4.7195 10.1867
angles (deg): 90.00 95.12 90.00
Space group C2/m (No. 12)
Inequivalent atoms, fractional coordinates:
1 Pm 0.1094 0.0000 0.3885 [4 per cell]
2 Pm 0.1144 0.5000 0.6675 [4 per cell]
3 Pm 0.1506 0.5000 0.1108 [4 per cell]
4 Tl 0.0772 0.0000 0.8809 [4 per cell]
5 Ru 0.2418 0.5000 0.3774 [4 per cell]

---

Entry 7:
Material: Pm8TlRu2
Method: DFT, GGA-PBE
State: optimized geometry

Properties
Formation energy in eV per atom: -0.147
Total energy in eV/atom: -5.50

a b c (Å): 8.8646 13.6051 5.6093
angles (deg): 90.00 103.82 90.00
Space group C2/m (No. 12)
Inequivalent atoms, fractional coordinates:
1 Pm 0.0000 0.2489 0.0000 [4 per cell]
2 Pm 0.1085 0.5000 0.8004 [4 per cell]
3 Pm 0.1996 0.1284 0.5630 [8 per cell]
4 Tl 0.0000 0.0000 0.0000 [2 per cell]
5 Ru 0.0000 0.3023 0.5000 [4 per cell]

---

Entry 8:
Material: Pm4TlRu
Method: DFT, GGA-PBE
State: optimized geometry

Properties
Formation energy in eV per atom: -0.303
Total energy in eV/atom: -5.41
Energy above the most stable polymorph in this dataset in meV/atom: 0

a b c (Å): 13.9891 13.9891 13.9891
angles (deg): 90.00 90.00 90.00
Space group F-43m (No. 216)
Inequivalent atoms, fractional coordinates:
1 Pm 0.0000 0.0000 0.1913 [24 per cell]
2 Pm 0.0582 0.2500 0.2500 [24 per cell]
3 Pm 0.0967 0.0967 0.5967 [16 per cell]
4 Tl 0.1661 0.1661 0.8339 [16 per cell]
5 Ru 0.1122 0.1122 0.3878 [16 per cell]

---

Entry 9:
Material: Pm3TlRu
Method: DFT, GGA-PBE
State: optimized geometry

Properties
Formation energy in eV per atom: -0.290
Total energy in eV/atom: -5.47
Energy above the most stable polymorph in this dataset in meV/atom: 0

a b c (Å): 6.7434 10.0225 16.4277
angles (deg): 90.00 90.00 90.00
Space group Fmmm (No. 69)
Inequivalent atoms, fractional coordinates:
1 Pm 0.0000 0.0000 0.1996 [8 per cell]
2 Pm 0.0000 0.1921 0.3877 [16 per cell]
3 Tl 0.2135 0.0000 0.0000 [8 per cell]
4 Ru 0.2500 0.2500 0.2500 [8 per cell]

---

Entry 10:
Material: Pm5Tl2Ru
Method: DFT, GGA-PBE
State: optimized geometry

Properties
Formation energy in eV per atom: -0.143
Total energy in eV/atom: -4.86
Energy above the most stable polymorph in this dataset in meV/atom: 177

a b c (Å): 7.2262 7.2262 9.0307
angles (deg): 90.00 90.00 90.00
Space group I4mm (No. 107)
Inequivalent atoms, fractional coordinates:
1 Pm 0.0000 0.0000 0.0000 [2 per cell]
2 Pm 0.2466 0.2466 0.2745 [8 per cell]
3 Tl 0.0000 0.5000 0.0296 [4 per cell]
4 Ru 0.0000 0.0000 0.6596 [2 per cell]

---

Entry 11:
Material: Pm5TlRu4
Method: DFT, GGA-PBE
State: optimized geometry

Properties
Formation energy in eV per atom: -0.199
Total energy in eV/atom: -6.52

a b c (Å): 3.4878 3.4878 18.9590
angles (deg): 90.00 90.00 90.00
Space group P4/mmm (No. 123)
Inequivalent atoms, fractional coordinates:
1 Pm 0.0000 0.0000 0.0000 [1 per cell]
2 Pm 0.0000 0.0000 0.1832 [2 per cell]
3 Pm 0.0000 0.0000 0.3670 [2 per cell]
4 Tl 0.5000 0.5000 0.5000 [1 per cell]
5 Ru 0.5000 0.5000 0.0921 [2 per cell]
6 Ru 0.5000 0.5000 0.2796 [2 per cell]

---

Entry 12:
Material: Pm6TlRu
Method: DFT, GGA-PBE
State: optimized geometry

Properties
Formation energy in eV per atom: -0.050
Total energy in eV/atom: -5.07
Energy above the most stable polymorph in this dataset in meV/atom: 0

a b c (Å): 5.1773 5.1773 17.9123
angles (deg): 90.00 90.00 90.00
Space group I4/mmm (No. 139)
Inequivalent atoms, fractional coordinates:
1 Pm 0.0000 0.0000 0.2489 [4 per cell]
2 Pm 0.0000 0.5000 0.1024 [8 per cell]
3 Tl 0.0000 0.0000 0.0000 [2 per cell]
4 Ru 0.0000 0.0000 0.5000 [2 per cell]

---

Entry 13:
Material: Pm3Tl2Ru
Method: DFT, GGA-PBE
State: optimized geometry

Properties
Formation energy in eV per atom: -0.266
Total energy in eV/atom: -4.98
Energy above the most stable polymorph in this dataset in meV/atom: 0

a b c (Å): 5.4300 7.2573 8.9976
angles (deg): 90.00 107.46 90.00
Space group P2_1/m (No. 11)
Inequivalent atoms, fractional coordinates:
1 Pm 0.0010 0.2500 0.0003 [2 per cell]
2 Pm 0.3690 0.0000 0.7372 [4 per cell]
3 Tl 0.1931 0.7500 0.3862 [2 per cell]
4 Tl 0.1936 0.2500 0.3865 [2 per cell]
5 Ru 0.4992 0.7500 0.0000 [2 per cell]

---

Entry 14:
Material: Pm6TlRu2
Method: DFT, GGA-PBE
State: optimized geometry

Properties
Formation energy in eV per atom: -0.270
Total energy in eV/atom: -5.76
Energy above the most stable polymorph in this dataset in meV/atom: 0

a b c (Å): 9.6097 9.9250 10.6171
angles (deg): 90.00 90.00 90.00
Space group Immm (No. 71)
Inequivalent atoms, fractional coordinates:
1 Pm 0.0000 0.2063 0.2369 [8 per cell]
2 Pm 0.1883 0.5000 0.1715 [8 per cell]
3 Pm 0.2137 0.3170 0.5000 [8 per cell]
4 Tl 0.0000 0.0000 0.0000 [2 per cell]
5 Tl 0.0000 0.0000 0.5000 [2 per cell]
6 Ru 0.0000 0.3290 0.0000 [4 per cell]
7 Ru 0.0000 0.5000 0.3756 [4 per cell]

---

Entry 15:
Material: Pm3TlRu
Method: DFT, GGA-PBE
State: optimized geometry

Properties
Formation energy in eV per atom: -0.126
Total energy in eV/atom: -5.31
Energy above the most stable polymorph in this dataset in meV/atom: 163

a b c (Å): 5.4260 5.4260 5.4260
angles (deg): 90.00 90.00 90.00
Space group Pm-3m (No. 221)
Inequivalent atoms, fractional coordinates:
1 Pm 0.0000 0.0000 0.5000 [3 per cell]
2 Tl 0.5000 0.5000 0.5000 [1 per cell]
3 Ru 0.0000 0.0000 0.0000 [1 per cell]

---

Entry 16:
Material: Pm12TlRu7
Method: DFT, GGA-PBE
State: optimized geometry

Properties
Formation energy in eV per atom: -0.125
Total energy in eV/atom: -6.34

a b c (Å): 14.1885 14.1885 8.8813
angles (deg): 90.00 90.00 120.00
Space group R-3 (No. 148, hexagonal axes)
Inequivalent atoms, fractional coordinates:
1 Pm 0.0358 0.1689 0.2596 [18 per cell]
2 Pm 0.0382 0.4349 0.2928 [18 per cell]
3 Tl 0.0000 0.0000 0.0000 [3 per cell]
4 Ru 0.0000 0.0000 0.5000 [3 per cell]
5 Ru 0.0639 0.2231 0.9151 [18 per cell]

---

Entry 17:
Material: Pm5Tl2Ru
Method: DFT, GGA-PBE
State: optimized geometry

Properties
Formation energy in eV per atom: -0.319
Total energy in eV/atom: -5.04
Energy above the most stable polymorph in this dataset in meV/atom: 0

a b c (Å): 8.0253 12.3728 4.7734
angles (deg): 90.00 90.00 90.00
Space group Pbam (No. 55)
Inequivalent atoms, fractional coordinates:
1 Pm 0.0000 0.0000 0.0000 [2 per cell]
2 Pm 0.1385 0.2986 0.0000 [4 per cell]
3 Pm 0.1837 0.5700 0.5000 [4 per cell]
4 Tl 0.0748 0.8306 0.5000 [4 per cell]
5 Ru 0.0000 0.5000 0.0000 [2 per cell]

---

Entry 18:
Material: Pm7Tl2Ru2
Method: DFT, GGA-PBE
State: optimized geometry

Properties
Formation energy in eV per atom: -0.191
Total energy in eV/atom: -5.33

a b c (Å): 8.2385 11.2976 7.2795
angles (deg): 90.00 90.00 90.00
Space group Cmmm (No. 65)
Inequivalent atoms, fractional coordinates:
1 Pm 0.0000 0.0000 0.0000 [2 per cell]
2 Pm 0.0000 0.5000 0.2396 [4 per cell]
3 Pm 0.2500 0.2500 0.2489 [8 per cell]
4 Tl 0.1792 0.0000 0.5000 [4 per cell]
5 Ru 0.0000 0.2937 0.0000 [4 per cell]

---

Entry 19:
Material: Pm6TlRu
Method: DFT, GGA-PBE
State: optimized geometry

Properties
Formation energy in eV per atom: -0.035
Total energy in eV/atom: -5.05
Energy above the most stable polymorph in this dataset in meV/atom: 15

a b c (Å): 8.0757 10.3834 6.5694
angles (deg): 90.00 105.07 90.00
Space group C2/m (No. 12)
Inequivalent atoms, fractional coordinates:
1 Pm 0.1231 0.1855 0.2880 [8 per cell]
2 Pm 0.2164 0.5000 0.1446 [4 per cell]
3 Tl 0.0000 0.5000 0.5000 [2 per cell]
4 Ru 0.0000 0.0000 0.0000 [2 per cell]

---

Entry 20:
Material: Pm3Tl2Ru
Method: DFT, GGA-PBE
State: optimized geometry

Properties
Formation energy in eV per atom: -0.238
Total energy in eV/atom: -4.95
Energy above the most stable polymorph in this dataset in meV/atom: 28

a b c (Å): 7.9684 10.9868 8.1684
angles (deg): 90.00 99.75 90.00
Space group C2/m (No. 12)
Inequivalent atoms, fractional coordinates:
1 Pm 0.1713 0.0000 0.1676 [4 per cell]
2 Pm 0.2261 0.1803 0.7755 [8 per cell]
3 Tl 0.0000 0.0000 0.5000 [2 per cell]
4 Tl 0.0000 0.3637 0.5000 [4 per cell]
5 Tl 0.0000 0.5000 0.0000 [2 per cell]
6 Ru 0.0000 0.2086 0.0000 [4 per cell]

---

Total moment, record by record: 0.000, 0.000, 0.000, 0.296, 0.000, 0.000, 0.000, 0.000, 0.000, 0.000, 0.000, 0.000, 0.000, 0.000, 0.000, 0.000, 0.000, 0.000, 0.000, 0.000 μB per atom